FeNiIr2 | Alexandria via LeMat-Bulk | GGA-PBE | relaxed; crystal system = trigonal; ΔH_f (0 K) = -0.001 eV/atom; symmetry = R-3m, No. 166
1.0
8.574 -0.007 -0.004
8.156 2.645 -0.004
8.156 1.286 2.312
Ni Fe Ir
1 1 2
Direct
0.250 0.250 0.250
0.750 0.750 0.750
0.500 0.500 0.500
0.000 0.000 0.000